Compound: Nd8Co2Ru
Source: the Alexandria database
Functional: GGA-PBE
Structure: relaxed

The structure in CIF format:
```
data_Nd8Co2Ru
_space_group_name_H-M_alt 'C 1 m 1'
_space_group_IT_number 8
_space_group_name_Hall 'C -2y'
_cell_length_a 8.2347
_cell_length_b 12.6951
_cell_length_c 6.3209
_cell_angle_alpha 90.00
_cell_angle_beta 109.34
_cell_angle_gamma 90.00
loop_
_atom_site_label
_atom_site_type_symbol
_atom_site_fract_x
_atom_site_fract_y
_atom_site_fract_z
Nd1 Nd 0.0000 0.0000 0.0000
Nd2 Nd 0.0694 0.3684 0.8033
Nd3 Nd 0.1438 0.1332 0.5936
Nd4 Nd 0.2151 0.5000 0.3763
Nd5 Nd 0.3600 0.2083 0.1896
Co1 Co 0.3551 0.3079 0.6925
Ru1 Ru 0.3562 0.0000 0.0407
```

## Properties
density	7.3	g/cm3
formation enthalpy at 0 K	0.002	eV/atom